[1]
A relaxed structure of Ac2Zn6CuNi. Source: Alexandria, functional PBE.

The structure belongs to space group I4/mmm (No. 139); the cell edges are 6.688, 6.688 and 9.420 Å and the angles 90.00°, 90.00° and 90.00°. The inequivalent atoms are Ac at (0.000, 0.500, 0.250), Zn at (0.000, 0.000, 0.247), Zn at (0.247, 0.247, 0.000), Cu at (0.000, 0.000, 0.500) and Ni at (0.000, 0.000, 0.000).

As for the density of states at the Fermi level: 0.51 states/eV/atom.

---

[2]
A relaxed structure of YFe2Co. Source: Alexandria, functional PBE.

The structure belongs to space group Immm (No. 71); the cell edges are 3.177, 4.310 and 8.977 Å and the angles 90.00°, 90.00° and 90.00°. The inequivalent atoms are Y at (0.000, 0.000, 0.000), Fe at (0.000, 0.500, 0.229) and Co at (0.000, 0.000, 0.500).

As for the density of states at the Fermi level: 0.66 states/eV/atom.

---

[3]
A relaxed structure of ZrReP. Source: Alexandria, functional PBE.

The structure belongs to space group P3m1 (No. 156); the cell edges are 4.2036, 4.2036 and 3.2653 Å and the angles 90.00°, 90.00° and 120.00°. The inequivalent atoms are Zr at (0.0000, 0.0000, 0.0000), Re at (0.3333, 0.6667, 0.4975) and P at (0.6667, 0.3333, 0.4982).

As for the density of states at the Fermi level: 0.97 states/eV/atom.

---

| no. | energy relative to the elements (eV/atom) | volume (A^3/atom) |
| --- | --- | --- |
| 1 | -0.199 | 21.06 |
| 2 | 0.179 | 15.36 |
| 3 | -0.457 | 16.66 |